[1]
# YIn4Ru | the Alexandria database | GGA-PBE | optimized geometry
data_YIn4Ru
_cell_length_a 8.238
_cell_length_b 8.238
_cell_length_c 8.238
_cell_angle_alpha 90.00
_cell_angle_beta 90.00
_cell_angle_gamma 90.00
_space_group_name_H-M_alt 'F -4 3 m'
_space_group_IT_number 216
_space_group_name_Hall 'F -4 2 3'
loop_
_atom_site_label
_atom_site_fract_x
_atom_site_fract_y
_atom_site_fract_z
Y1 0.000 0.000 0.000
In1 0.125 0.125 0.625
Ru1 0.250 0.250 0.250
# Fermi-level density of states: 5.5 states/eV/f.u.
# calculated total energy: -0.153 Ha/atom
# energy of formation: 1.7 eV per formula unit

[2]
# CaZr2In | the Alexandria database | GGA-PBE | optimized geometry
data_CaZr2In
_cell_length_a 6.399
_cell_length_b 9.782
_cell_length_c 3.183
_cell_angle_alpha 90.00
_cell_angle_beta 90.00
_cell_angle_gamma 90.00
_space_group_name_H-M_alt 'C m m m'
_space_group_IT_number 65
_space_group_name_Hall '-C 2 2'
loop_
_atom_site_label
_atom_site_fract_x
_atom_site_fract_y
_atom_site_fract_z
Ca1 0.000 0.000 0.000
Zr1 0.250 0.250 0.500
In1 0.000 0.500 0.000
# Fermi-level density of states: 5.2 states/eV/f.u.
# calculated total energy: -0.196 Ha/atom
# energy of formation: 0.5 eV per formula unit

[3]
# KLi2InI6 | the Alexandria database | GGA-PBE | optimized geometry
data_KLi2InI6
_cell_length_a 7.7642
_cell_length_b 7.7642
_cell_length_c 21.6121
_cell_angle_alpha 90.00
_cell_angle_beta 90.00
_cell_angle_gamma 120.00
_space_group_name_H-M_alt 'R 3'
_space_group_IT_number 146
_space_group_name_Hall 'R 3'
loop_
_atom_site_label
_atom_site_fract_x
_atom_site_fract_y
_atom_site_fract_z
K1 0.0000 0.0000 0.0000
Li1 0.0000 0.0000 0.3005
Li2 0.0000 0.0000 0.8075
In1 0.0000 0.0000 0.4849
I1 0.9998 0.3397 0.8878
I2 0.0101 0.6045 0.0641
# Fermi-level density of states: 0.0 states/eV/f.u.
# calculated total energy: -0.096 Ha/atom
# ΔE_f (raw): -0.92 eV per atom

[4]
# NaCuH3 | the Alexandria database | GGA-PBE | optimized geometry
data_NaCuH3
_cell_length_a 2.694
_cell_length_b 5.105
_cell_length_c 10.054
_cell_angle_alpha 90.00
_cell_angle_beta 90.00
_cell_angle_gamma 90.00
_space_group_name_H-M_alt 'A m m 2'
_space_group_IT_number 38
_space_group_name_Hall 'A 2 -2'
loop_
_atom_site_label
_atom_site_fract_x
_atom_site_fract_y
_atom_site_fract_z
Na1 0.000 0.000 0.000
Cu1 0.500 0.000 0.687
H1 0.000 0.192 0.658
H2 0.500 0.000 0.849
# Fermi-level density of states: 1.2 states/eV/f.u.
# calculated total energy: -0.107 Ha/atom

[5]
# Na2FeRu | the Alexandria database | GGA-PBE | optimized geometry
data_Na2FeRu
_cell_length_a 7.995
_cell_length_b 7.995
_cell_length_c 4.944
_cell_angle_alpha 90.00
_cell_angle_beta 90.00
_cell_angle_gamma 90.00
_space_group_name_H-M_alt 'I -4 2 d'
_space_group_IT_number 122
_space_group_name_Hall 'I -4 2bw'
loop_
_atom_site_label
_atom_site_fract_x
_atom_site_fract_y
_atom_site_fract_z
Na1 0.246 0.250 0.125
Fe1 0.000 0.000 0.000
Ru1 0.000 0.000 0.500
# Fermi-level density of states: 3.6 states/eV/f.u.
# calculated total energy: -0.144 Ha/atom
# energy of formation: 4.7 eV per formula unit

[6]
# LiLuRh2 | the Alexandria database | GGA-PBE | optimized geometry
data_LiLuRh2
_cell_length_a 6.327
_cell_length_b 6.327
_cell_length_c 6.327
_cell_angle_alpha 90.00
_cell_angle_beta 90.00
_cell_angle_gamma 90.00
_space_group_name_H-M_alt 'F m -3 m'
_space_group_IT_number 225
_space_group_name_Hall '-F 4 2 3'
loop_
_atom_site_label
_atom_site_fract_x
_atom_site_fract_y
_atom_site_fract_z
Li1 0.000 0.000 0.000
Lu1 0.000 0.000 0.500
Rh1 0.250 0.250 0.250
# Fermi-level density of states: 1.5 states/eV/f.u.
# calculated total energy: -0.216 Ha/atom
# energy of formation: -2.4 eV per formula unit

[7]
# MgFeTc2 | the Alexandria database | GGA-PBE | optimized geometry
data_MgFeTc2
_cell_length_a 2.726
_cell_length_b 2.726
_cell_length_c 7.708
_cell_angle_alpha 90.00
_cell_angle_beta 90.00
_cell_angle_gamma 90.00
_space_group_name_H-M_alt 'P 4 m m'
_space_group_IT_number 99
_space_group_name_Hall 'P 4 -2'
loop_
_atom_site_label
_atom_site_fract_x
_atom_site_fract_y
_atom_site_fract_z
Mg1 0.000 0.000 0.000
Fe1 0.500 0.500 0.751
Tc1 0.000 0.000 0.551
Tc2 0.500 0.500 0.286
# Fermi-level density of states: 3.1 states/eV/f.u.
# calculated total energy: -0.275 Ha/atom
# energy of formation: 0.8 eV per formula unit

[8]
# ZrMnIn2 | the Alexandria database | GGA-PBE | optimized geometry
data_ZrMnIn2
_cell_length_a 3.2008
_cell_length_b 3.2008
_cell_length_c 28.8131
_cell_angle_alpha 90.00
_cell_angle_beta 90.00
_cell_angle_gamma 120.00
_space_group_name_H-M_alt 'R -3 m'
_space_group_IT_number 166
_space_group_name_Hall '-R 3 2"'
loop_
_atom_site_label
_atom_site_fract_x
_atom_site_fract_y
_atom_site_fract_z
Zr1 0.0000 0.0000 0.0000
Mn1 0.0000 0.0000 0.5000
In1 0.0000 0.0000 0.2447
# Fermi-level density of states: 3.1 states/eV/f.u.
# calculated total energy: -0.210 Ha/atom
# energy of formation: 0.3 eV per formula unit

[9]
# TbHfSc2S6 | the Alexandria database | GGA-PBE | optimized geometry
data_TbHfSc2S6
_cell_length_a 6.5508
_cell_length_b 6.5508
_cell_length_c 17.9940
_cell_angle_alpha 90.00
_cell_angle_beta 90.00
_cell_angle_gamma 120.00
_space_group_name_H-M_alt 'R 3'
_space_group_IT_number 146
_space_group_name_Hall 'R 3'
loop_
_atom_site_label
_atom_site_fract_x
_atom_site_fract_y
_atom_site_fract_z
Tb1 0.0000 0.0000 0.0000
Hf1 0.0000 0.0000 0.4933
Sc1 0.0000 0.0000 0.3046
Sc2 0.0000 0.0000 0.8077
S1 0.0157 0.3457 0.5643
S2 0.0216 0.6436 0.0675
# Fermi-level density of states: 6.4 states/eV/f.u.
# calculated total energy: -0.257 Ha/atom
# ΔE_f (raw): -1.80 eV per atom

[10]
# Pm2TmNi | the Alexandria database | GGA-PBE | optimized geometry
data_Pm2TmNi
_cell_length_a 3.6324
_cell_length_b 3.6324
_cell_length_c 31.2281
_cell_angle_alpha 90.00
_cell_angle_beta 90.00
_cell_angle_gamma 120.00
_space_group_name_H-M_alt 'R -3 m'
_space_group_IT_number 166
_space_group_name_Hall '-R 3 2"'
loop_
_atom_site_label
_atom_site_fract_x
_atom_site_fract_y
_atom_site_fract_z
Pm1 0.0000 0.0000 0.1098
Tm1 0.0000 0.0000 0.0000
Ni1 0.0000 0.0000 0.5000
# Fermi-level density of states: 5.0 states/eV/f.u.
# calculated total energy: -0.176 Ha/atom
# energy of formation: 0.6 eV per formula unit

[11]
# PuPaTcNi | the Alexandria database | GGA-PBE | optimized geometry
data_PuPaTcNi
_cell_length_a 6.759
_cell_length_b 6.759
_cell_length_c 6.759
_cell_angle_alpha 90.00
_cell_angle_beta 90.00
_cell_angle_gamma 90.00
_space_group_name_H-M_alt 'F -4 3 m'
_space_group_IT_number 216
_space_group_name_Hall 'F -4 2 3'
loop_
_atom_site_label
_atom_site_fract_x
_atom_site_fract_y
_atom_site_fract_z
Pu1 0.000 0.000 0.000
Pa1 0.000 0.000 0.500
Tc1 0.250 0.250 0.750
Ni1 0.250 0.250 0.250
# Fermi-level density of states: 9.3 states/eV/f.u.
# calculated total energy: -0.370 Ha/atom
# energy of formation: -0.3 eV per formula unit

[12]
# Ba2SrCaH | the Alexandria database | GGA-PBE | optimized geometry
data_Ba2SrCaH
_cell_length_a 6.425
_cell_length_b 6.425
_cell_length_c 5.011
_cell_angle_alpha 90.00
_cell_angle_beta 90.00
_cell_angle_gamma 90.00
_space_group_name_H-M_alt 'P 4/m m m'
_space_group_IT_number 123
_space_group_name_Hall '-P 4 2'
loop_
_atom_site_label
_atom_site_fract_x
_atom_site_fract_y
_atom_site_fract_z
Ba1 0.000 0.500 0.000
Sr1 0.000 0.000 0.500
Ca1 0.500 0.500 0.500
H1 0.500 0.500 0.000
# Fermi-level density of states: 6.0 states/eV/f.u.
# calculated total energy: -0.084 Ha/atom

Which of these has the highest Fermi-level density of states?
PuPaTcNi

Which value of calculated total energy does entry 3 give?
-0.096 Ha/atom